# K3Dy2CoO6 PBE with a Hubbard U relaxed
data_K3Dy2CoO6
_cell_length_a 5.8598
_cell_length_b 10.0050
_cell_length_c 6.5241
_cell_angle_alpha 90.00
_cell_angle_beta 107.47
_cell_angle_gamma 90.00
_space_group_name_H-M_alt 'C 1 2/m 1'
_space_group_IT_number 12
_space_group_name_Hall '-C 2y'
loop_
_atom_site_label
_atom_site_fract_x
_atom_site_fract_y
_atom_site_fract_z
K1 0.0000 0.0000 0.0000
K2 0.0000 0.3376 0.0000
Dy1 0.0000 0.1660 0.5000
Co1 0.0000 0.5000 0.5000
O1 0.2154 0.3464 0.6799
O2 0.2378 0.0000 0.6895
# DFT total energy = -6.09 eV/atom